A relaxed LiSmHgIr crystal, computed with GGA-PBE.

It has space group F-43m (No. 216), with a = 6.824 Å, b = 6.824 Å, c = 6.824 Å, α = 90.00°, β = 90.00° and γ = 90.00°. The asymmetric unit holds Li at (0.000, 0.000, 0.000), Sm at (0.250, 0.250, 0.250), Hg at (0.250, 0.250, 0.750) and Ir at (0.000, 0.000, 0.500).

The total energy is -68.38 eV/cell.

=====

A relaxed LiSnHgIr crystal, computed with GGA-PBE.

It has space group F-43m (No. 216), with a = 6.566 Å, b = 6.566 Å, c = 6.566 Å, α = 90.00°, β = 90.00° and γ = 90.00°. The asymmetric unit holds Li at (0.000, 0.000, 0.000), Sn at (0.250, 0.250, 0.250), Hg at (0.250, 0.250, 0.750) and Ir at (0.000, 0.000, 0.500).

The total energy is -62.76 eV/cell.

=====

A relaxed LiTbHgIr crystal, computed with GGA-PBE.

It has space group F-43m (No. 216), with a = 6.755 Å, b = 6.755 Å, c = 6.755 Å, α = 90.00°, β = 90.00° and γ = 90.00°. The asymmetric unit holds Li at (0.000, 0.000, 0.000), Tb at (0.250, 0.250, 0.750), Hg at (0.250, 0.250, 0.250) and Ir at (0.000, 0.000, 0.500).

The total energy is -68.68 eV/cell.

=====

A relaxed LiTcHg2Ir crystal, computed with GGA-PBE.

It has space group P4/mmm (No. 123), with a = 5.171 Å, b = 5.171 Å, c = 4.559 Å, α = 90.00°, β = 90.00° and γ = 90.00°. The asymmetric unit holds Li at (0.000, 0.000, 0.000), Tc at (0.000, 0.000, 0.500), Hg at (0.000, 0.500, 0.500) and Ir at (0.500, 0.500, 0.000).

For the excess energy over the best structure of this formula in the dataset, the calculation gives 898 meV per atom. The total energy is -13.36 eV/cell.

=====

A relaxed LiTcHg2Ir crystal, computed with GGA-PBE.

It has space group P4/mmm (No. 123), with a = 5.310 Å, b = 5.310 Å, c = 4.654 Å, α = 90.00°, β = 90.00° and γ = 90.00°. The asymmetric unit holds Li at (0.000, 0.000, 0.000), Tc at (0.500, 0.500, 0.500), Hg at (0.000, 0.500, 0.500) and Ir at (0.500, 0.500, 0.000).

For the excess energy over the best structure of this formula in the dataset, the calculation gives 0 meV per atom. The total energy is -17.85 eV/cell.

=====

A relaxed LiThHgIr crystal, computed with GGA-PBE.

It has space group F-43m (No. 216), with a = 6.885 Å, b = 6.885 Å, c = 6.885 Å, α = 90.00°, β = 90.00° and γ = 90.00°. The asymmetric unit holds Li at (0.000, 0.000, 0.000), Th at (0.250, 0.250, 0.750), Hg at (0.250, 0.250, 0.250) and Ir at (0.000, 0.000, 0.500).

The total energy is -79.46 eV/cell.

=====

A relaxed LiYHgIr crystal, computed with GGA-PBE.

It has space group F-43m (No. 216), with a = 6.748 Å, b = 6.748 Å, c = 6.748 Å, α = 90.00°, β = 90.00° and γ = 90.00°. The asymmetric unit holds Li at (0.000, 0.000, 0.000), Y at (0.250, 0.250, 0.750), Hg at (0.250, 0.250, 0.250) and Ir at (0.000, 0.000, 0.500).

The total energy is -75.99 eV/cell.

=====

A relaxed LiZnHgIr crystal, computed with GGA-PBE.

It has space group F-43m (No. 216), with a = 6.340 Å, b = 6.340 Å, c = 6.340 Å, α = 90.00°, β = 90.00° and γ = 90.00°. The asymmetric unit holds Li at (0.000, 0.000, 0.000), Zn at (0.250, 0.250, 0.750), Hg at (0.250, 0.250, 0.250) and Ir at (0.000, 0.000, 0.500).

The total energy is -51.03 eV/cell.

=====

A relaxed Lu2HgIr crystal, computed with GGA-PBE.

It has space group Fm-3m (No. 225), with a = 6.977 Å, b = 6.977 Å, c = 6.977 Å, α = 90.00°, β = 90.00° and γ = 90.00°. The asymmetric unit holds Lu at (0.250, 0.250, 0.250), Hg at (0.000, 0.000, 0.000) and Ir at (0.000, 0.000, 0.500).

For the excess energy over the best structure of this formula in the dataset, the calculation gives 92 meV per atom. The total energy is -83.51 eV/cell.

=====

A relaxed Lu2HgIr crystal, computed with GGA-PBE.

It has space group P4/mmm (No. 123), with a = 3.436 Å, b = 3.436 Å, c = 7.335 Å, α = 90.00°, β = 90.00° and γ = 90.00°. The asymmetric unit holds Lu at (0.000, 0.000, 0.219), Hg at (0.500, 0.500, 0.500) and Ir at (0.500, 0.500, 0.000).

For the excess energy over the best structure of this formula in the dataset, the calculation gives 0 meV per atom. The total energy is -21.25 eV/cell.

=====

A relaxed Lu2HgIr crystal, computed with GGA-PBE.

It has space group R-3m (No. 166, hexagonal axes), with a = 3.9589 Å, b = 3.9589 Å, c = 22.1993 Å, α = 90.00°, β = 90.00° and γ = 120.00°. The asymmetric unit holds Lu at (0.0000, 0.0000, 0.2330), Hg at (0.0000, 0.0000, 0.0000) and Ir at (0.0000, 0.0000, 0.5000).

For the excess energy over the best structure of this formula in the dataset, the calculation gives 134 meV per atom. The total energy is -62.13 eV/cell.

=====

A relaxed NdLuHgIr crystal, computed with GGA-PBE.

It has space group F-43m (No. 216), with a = 7.181 Å, b = 7.181 Å, c = 7.181 Å, α = 90.00°, β = 90.00° and γ = 90.00°. The asymmetric unit holds Nd at (0.000, 0.000, 0.000), Lu at (0.000, 0.000, 0.500), Hg at (0.250, 0.250, 0.750) and Ir at (0.250, 0.250, 0.250).

The total energy is -82.75 eV/cell.

=====

Number 1: calculated formation energy -0.325 eV per atom. Number 2: calculated formation energy -0.153 eV per atom. Number 3: calculated formation energy -0.366 eV per atom. Number 4: calculated formation energy 1.678 eV per atom. Number 5: calculated formation energy 0.779 eV per atom. Number 6: calculated formation energy -0.342 eV per atom. Number 7: calculated formation energy -0.364 eV per atom. Number 8: calculated formation energy -0.102 eV per atom. Number 9: calculated formation energy -0.668 eV per atom. Number 10: calculated formation energy -0.760 eV per atom. Number 11: calculated formation energy -0.627 eV per atom. Number 12: calculated formation energy -0.559 eV per atom.